TiTlAsO5: single point on PBEsol structure, SCAN.

Cell and atoms, written as POSCAR:
```
TiTlAsO5
1.0
13.2469 0.0000 0.0000
0.0000 6.6470 0.0000
0.0000 0.0000 10.7902
Ti Tl As O
8 8 8 40
Direct
0.1288 0.0101 0.0000 Ti
0.2416 0.2693 0.7446 Ti
0.2584 0.7693 0.2446 Ti
0.3712 0.5101 0.5000 Ti
0.6288 0.4899 0.0000 Ti
0.7416 0.2307 0.7446 Ti
0.7584 0.7307 0.2446 Ti
0.8712 0.9899 0.5000 Ti
0.1051 0.7008 0.5595 Tl
0.1199 0.2859 0.3165 Tl
0.3801 0.7859 0.8165 Tl
0.3949 0.2008 0.0595 Tl
0.6051 0.7992 0.5595 Tl
0.6199 0.2141 0.3165 Tl
0.8801 0.7141 0.8165 Tl
0.8949 0.2992 0.0595 Tl
0.0043 0.8324 0.2544 As
0.1813 0.5141 0.0053 As
0.3187 0.0141 0.5053 As
0.4957 0.3324 0.7544 As
0.5043 0.6676 0.2544 As
0.6813 0.9859 0.0053 As
0.8187 0.4859 0.5053 As
0.9957 0.1676 0.7544 As
0.0048 0.0445 0.8938 O
0.0147 0.0085 0.1411 O
0.0963 0.3256 0.7297 O
0.1056 0.7158 0.9763 O
0.1101 0.3100 0.0451 O
0.1108 0.6870 0.2679 O
0.2138 0.0699 0.8786 O
0.2207 0.9562 0.1291 O
0.2338 0.0482 0.6241 O
0.2442 0.9730 0.3778 O
0.2558 0.4730 0.8778 O
0.2662 0.5482 0.1241 O
0.2793 0.4562 0.6292 O
0.2862 0.5699 0.3786 O
0.3892 0.1870 0.7679 O
0.3899 0.8100 0.5451 O
0.3944 0.2158 0.4763 O
0.4037 0.8256 0.2297 O
0.4853 0.5085 0.6411 O
0.4952 0.5445 0.3938 O
0.5048 0.4555 0.8938 O
0.5147 0.4915 0.1411 O
0.5963 0.1744 0.7297 O
0.6056 0.7842 0.9763 O
0.6101 0.1900 0.0451 O
0.6108 0.8130 0.2679 O
0.7138 0.4301 0.8786 O
0.7207 0.5438 0.1291 O
0.7338 0.4518 0.6241 O
0.7442 0.5270 0.3778 O
0.7558 0.0270 0.8778 O
0.7662 0.9518 0.1241 O
0.7793 0.0438 0.6292 O
0.7862 0.9301 0.3786 O
0.8892 0.3130 0.7679 O
0.8899 0.6900 0.5451 O
0.8944 0.2842 0.4763 O
0.9037 0.6744 0.2297 O
0.9853 0.9915 0.6411 O
0.9952 0.9555 0.3938 O
```

Values from the calculation:
The calculation puts the calculated total energy at -1249.7 eV for the cell shown. As for the magnetization: 0.0 μB/f.u.